(1)
VASP calculation (GGA-PBE) on a geometry-optimized Mg2Cr3WS8 structure.

Computed properties:
Total energy, eV per atom: -6.36
Total magnetic moment, μB/f.u.: 11.84
Formation energy (no corrections), eV per atom: -0.7827

Unit cell a=7.2488 b=7.2488 c=17.9313 alpha=90.00 beta=90.00 gamma=120.00
Space group R-3m (No. 166, hexagonal axes)
Symmetry-distinct sites (fractional):
1 Mg 0.0000 0.0000 0.1272 x6
2 Cr 0.0000 0.5000 0.0000 x9
3 W 0.0000 0.0000 0.5000 x3
4 S 0.0000 0.0000 0.2638 x6
5 S 0.0317 0.5159 0.2554 x18

=====

(2)
VASP calculation (GGA-PBE) on a geometry-optimized Mg2CrW3S8 structure.

Computed properties:
Total energy, eV per atom: -6.77
Total magnetic moment, μB/f.u.: 4.03
Formation energy (no corrections), eV per atom: -0.7226

Unit cell a=6.9819 b=6.9819 c=18.7441 alpha=90.00 beta=90.00 gamma=120.00
Space group R3m (No. 160, hexagonal axes)
Symmetry-distinct sites (fractional):
1 Mg 0.0000 0.0000 0.0000 x3
2 Mg 0.0000 0.0000 0.2465 x3
3 Cr 0.0000 0.0000 0.5863 x3
4 W 0.1977 0.3954 0.4412 x9
5 S 0.0000 0.0000 0.3784 x3
6 S 0.0000 0.0000 0.8659 x3
7 S 0.0488 0.5244 0.3496 x9
8 S 0.1728 0.3456 0.1766 x9

=====

(3)
VASP calculation (GGA-PBE) on a geometry-optimized YMgCrS4 structure.

Computed properties:
Total energy, eV per atom: -6.22
Total magnetic moment, μB/f.u.: 3.00
Formation energy (no corrections), eV per atom: -1.3362

Unit cell a=7.5003 b=7.6415 c=10.6882 alpha=90.00 beta=90.00 gamma=90.00
Space group Imma (No. 74)
Symmetry-distinct sites (fractional):
1 Y 0.0000 0.0000 0.0000 x4
2 Mg 0.0000 0.2500 0.3775 x4
3 Cr 0.2500 0.2500 0.7500 x4
4 S 0.0000 0.0339 0.7454 x8
5 S 0.2502 0.2500 0.5214 x8